Ta2BeCu | PBE-GGA | optimized geometry

Structure (CIF):
```
data_Ta2BeCu
_chemical_formula_sum 'Ta4 Be2 Cu2'
_space_group_name_H-M_alt 'I -4 m 2'
_space_group_IT_number 119
_space_group_name_Hall 'I -4 -2'
_cell_length_a 3.7022
_cell_length_b 3.7022
_cell_length_c 8.5525
_cell_angle_alpha 90.00
_cell_angle_beta 90.00
_cell_angle_gamma 90.00
loop_
_atom_site_label
_atom_site_type_symbol
_atom_site_fract_x
_atom_site_fract_y
_atom_site_fract_z
_atom_site_occupancy
Ta1 Ta 0.0000 0.0000 0.0000 1
Ta2 Ta 0.0000 0.5000 0.2500 1
Be1 Be 0.0000 0.5000 0.7500 1
Cu1 Cu 0.0000 0.0000 0.5000 1
```

Properties
The calculation puts the formation energy from the elements at 0.186 eV/atom. Its crystal system is tetragonal.

Cu2IrPt | PBE-GGA | optimized geometry

Structure (CIF):
```
data_Cu2IrPt
_chemical_formula_sum 'Cu4 Ir2 Pt2'
_space_group_name_H-M_alt 'C m m 2'
_space_group_IT_number 35
_cell_length_a 2.7169
_cell_length_b 4.6031
_cell_length_c 8.9836
_cell_angle_alpha 90.00
_cell_angle_beta 90.00
_cell_angle_gamma 90.00
loop_
_space_group_symop_operation_xyz
'x,y,z'
'-x,-y,z'
'-x,y,z'
'x,-y,z'
'x+1/2,y+1/2,z'
'-x+1/2,-y+1/2,z'
'-x+1/2,y+1/2,z'
'x+1/2,-y+1/2,z'
loop_
_atom_site_label
_atom_site_type_symbol
_atom_site_fract_x
_atom_site_fract_y
_atom_site_fract_z
_atom_site_occupancy
Cu1 Cu 0.0000 0.0000 0.0000 1
Cu2 Cu 0.0000 0.5000 0.2299 1
Ir1 Ir 0.0000 0.5000 0.7549 1
Pt1 Pt 0.0000 0.0000 0.4800 1
```

Properties
The calculation puts the formation energy from the elements at 0.134 eV/atom. Its crystal system is orthorhombic. The calculation puts the excess energy over the best structure of this formula in the dataset at 0.176 eV per atom.

Zr2TiAu | PBE-GGA | optimized geometry

Structure (CIF):
```
data_Zr2TiAu
_chemical_formula_sum 'Zr6 Ti3 Au3'
_space_group_name_H-M_alt 'R 3 m'
_space_group_IT_number 160
_space_group_name_Hall 'R 3 -2"'
_cell_length_a 3.1781
_cell_length_b 3.1781
_cell_length_c 28.3171
_cell_angle_alpha 90.00
_cell_angle_beta 90.00
_cell_angle_gamma 120.00
loop_
_atom_site_label
_atom_site_type_symbol
_atom_site_fract_x
_atom_site_fract_y
_atom_site_fract_z
_atom_site_occupancy
Zr1 Zr 0.0000 0.0000 0.0000 1
Zr2 Zr 0.0000 0.0000 0.1660 1
Ti1 Ti 0.0000 0.0000 0.4158 1
Au1 Au 0.0000 0.0000 0.5835 1
```

Properties
The calculation puts the formation energy from the elements at -0.102 eV/atom. Its crystal system is trigonal. The calculation puts the excess energy over the best structure of this formula in the dataset at 0.180 eV per atom.

AlGaRh | PBE-GGA | optimized geometry

Structure (CIF):
```
data_AlGaRh
_chemical_formula_sum 'Al1 Ga1 Rh1'
_space_group_name_H-M_alt 'P -6 m 2'
_space_group_IT_number 187
_space_group_name_Hall 'P -6 2'
_cell_length_a 4.2491
_cell_length_b 4.2491
_cell_length_c 2.8972
_cell_angle_alpha 90.00
_cell_angle_beta 90.00
_cell_angle_gamma 120.00
loop_
_atom_site_label
_atom_site_type_symbol
_atom_site_fract_x
_atom_site_fract_y
_atom_site_fract_z
_atom_site_occupancy
Al1 Al 0.0000 0.0000 0.0000 1
Ga1 Ga 0.3333 0.6667 0.5000 1
Rh1 Rh 0.6667 0.3333 0.5000 1
```

Properties
The calculation puts the formation energy from the elements at -0.462 eV/atom. Its crystal system is hexagonal.

CaTe2Se | PBE-GGA | optimized geometry

Structure (CIF):
```
data_CaTe2Se
_chemical_formula_sum 'Ca3 Te6 Se3'
_space_group_name_H-M_alt 'R -3 m'
_space_group_IT_number 166
_space_group_name_Hall '-R 3 2"'
_cell_length_a 4.6083
_cell_length_b 4.6083
_cell_length_c 20.4302
_cell_angle_alpha 90.00
_cell_angle_beta 90.00
_cell_angle_gamma 120.00
loop_
_atom_site_label
_atom_site_type_symbol
_atom_site_fract_x
_atom_site_fract_y
_atom_site_fract_z
_atom_site_occupancy
Ca1 Ca 0.0000 0.0000 0.0000 1
Te1 Te 0.0000 0.0000 0.2454 1
Se1 Se 0.0000 0.0000 0.5000 1
```

Properties
Its crystal system is trigonal. Its energy relative to the elements, uncorrected is -0.344 eV per atom.

| no. | E_tot (eV/atom) | V (Å³/cell) |
| --- | --- | --- |
| 1 | -7.70 | 117 |
| 2 | -5.64 | 112 |
| 3 | -7.17 | 248 |
| 4 | -5.17 | 45 |
| 5 | -3.29 | 376 |